Below is a geometry-optimized AlTcPO structure, with properties calculated at the PBE-GGA level.

The structure belongs to space group P4/nmm (No. 129, origin choice 2); the cell edges are 3.7667, 3.7667 and 8.7215 Å and the angles 90.00°, 90.00° and 90.00°. The inequivalent atoms are Al at (0.2500, 0.2500, 0.0739), Tc at (0.2500, 0.7500, 0.5000), P at (0.2500, 0.2500, 0.3385) and O at (0.2500, 0.7500, 0.0000).

The magnetization comes out at 0.004 μB/atom. Its excess energy over the best structure of this formula in the dataset is 0.0000 eV per atom. The calculation puts the calculated total energy at -7.40 eV per atom. Its calculated volume is 15.5 A^3/atom.


Below is a geometry-optimized AlTcPO structure, with properties calculated at the PBE-GGA level.

The structure belongs to space group Pmc2_1 (No. 26); the cell edges are 3.2143, 7.2932 and 4.8625 Å and the angles 90.00°, 90.00° and 90.00°. The inequivalent atoms are Al at (0.0000, 0.1195, 0.0000), Tc at (0.5000, 0.3647, 0.3615), P at (0.5000, 0.3266, 0.8466) and O at (0.0000, 0.1037, 0.3601).

The magnetization comes out at 0.219 μB/atom. Its excess energy over the best structure of this formula in the dataset is 0.5490 eV per atom. The calculation puts the calculated total energy at -6.85 eV per atom. Its calculated volume is 14.2 A^3/atom.